[1]
Al2RhAu, optimized geometry, DFT PBE; magnetic moment = 0.00 μB per formula unit; calculated formation energy = -274 meV/atom; energy above the most stable polymorph in this dataset = 405 meV/atom; density = 9.4 Mg/m³
1.0
0.0000 3.1457 3.1457
3.1457 0.0000 3.1457
3.1457 3.1457 0.0000
Al Rh Au
2 1 1
Cartesian
0.0000 0.0000 0.0000
1.5728 1.5728 1.5728
4.7185 4.7185 4.7185
3.1457 3.1457 3.1457

---

[2]
CaFeReBi2, optimized geometry, DFT PBE; magnetic moment = 2.14 μB per formula unit; calculated formation energy = 2182 meV/atom; energy above the most stable polymorph in this dataset = 1434 meV/atom; density = 8.9 Mg/m³
1.0
5.5272 0.0000 0.0000
0.0000 5.5272 0.0000
0.0000 0.0000 4.2988
Ca Fe Re Bi
1 1 1 2
Cartesian
0.0000 0.0000 0.0000
0.0000 0.0000 2.1494
2.7636 2.7636 2.1494
0.0000 2.7636 0.0000
2.7636 0.0000 0.0000

---

[3]
SrPuBiO6, optimized geometry, DFT PBE; magnetic moment = 1.00 μB per formula unit; raw formation energy = -2220 meV per atom; density = 6.9 Mg/m³
1.0
5.8934 0.0000 0.0000
-2.9467 5.1038 0.0000
0.0000 0.0000 10.2318
Sr Pu Bi O
2 2 2 12
Cartesian
0.0000 0.0000 0.0000
0.0000 0.0000 5.1159
0.0000 3.4025 2.5580
2.9467 1.7013 7.6739
0.0000 3.4025 7.6739
2.9467 1.7013 2.5580
-0.8848 1.9577 1.4435
-1.6937 3.3587 3.6724
0.8848 1.9577 3.6724
-0.8089 4.8912 1.4435
2.1378 0.2126 6.5594
1.2530 1.7451 8.7883
1.6937 3.3587 1.4435
0.8089 4.8912 3.6724
3.7556 0.2126 8.7883
2.0619 3.1461 6.5594
4.6404 1.7451 6.5594
3.8315 3.1461 8.7883

---

[4]
MgPd3W, optimized geometry, DFT PBE; magnetic moment = 0.00 μB per formula unit; calculated formation energy = 855 meV/atom; energy above the most stable polymorph in this dataset = 0 meV/atom; density = 7.7 Mg/m³
1.0
4.8364 0.0000 0.0000
0.0000 4.8364 0.0000
0.0000 0.0000 4.8364
Mg Pd W
1 3 1
Cartesian
0.0000 0.0000 0.0000
0.0000 2.4182 2.4182
2.4182 0.0000 2.4182
2.4182 2.4182 0.0000
2.4182 2.4182 2.4182

---

[5]
LiTbHoAl, optimized geometry, DFT PBE; magnetic moment = 0.00 μB per formula unit; calculated formation energy = -210 meV/atom; density = 6.1 Mg/m³
1.0
0.0000 3.6420 3.6420
3.6420 0.0000 3.6420
3.6420 3.6420 0.0000
Li Tb Ho Al
1 1 1 1
Cartesian
0.0000 0.0000 0.0000
5.4629 5.4629 5.4629
1.8210 1.8210 1.8210
3.6420 3.6420 3.6420

---

[6]
Sm3S3O2, optimized geometry, DFT PBE; magnetic moment = 1.01 μB per formula unit; raw formation energy = -2363 meV per atom; density = 6.0 Mg/m³
1.0
-1.8897 2.0686 10.2800
1.8897 -2.0686 10.2800
1.8897 2.0686 -10.2800
Sm S O
3 3 2
Cartesian
0.0000 0.0000 0.0000
1.8897 0.0000 6.3217
0.0000 2.0686 3.9583
1.8897 0.0000 2.3400
0.0000 0.0000 10.2800
0.0000 2.0686 7.9400
0.0000 0.0000 5.0756
0.0000 0.0000 15.4844

---

Question: Look up the magnetic moment of the fourth one.
Answer: 0.00 μB per formula unit